Entry 1:
VASP calculation (GGA-PBE) on a relaxed K3Tl2Bi4Pd2 crystal.

abc: 4.850 4.850 18.897
angles: 90.00 90.00 120.00
Element x y z (fractional)
K: 0.000 0.000 0.698
K: 0.000 0.000 0.000
K: 0.000 0.000 0.302
Tl: 0.667 0.333 0.811
Tl: 0.333 0.667 0.189
Bi: 0.667 0.333 0.127
Bi: 0.333 0.667 0.873
Bi: 0.667 0.333 0.578
Bi: 0.333 0.667 0.422
Pd: 0.667 0.333 0.436
Pd: 0.333 0.667 0.564

As for the space-group type: P-3m1 (164). The calculation puts the formation energy at -0.162 eV per atom.

=====

Entry 2:
VASP calculation (GGA-PBE) on a relaxed KTlBiPd crystal.

abc: 4.695 4.695 7.227
angles: 71.04 71.04 60.00
Element x y z (fractional)
K: 0.810 0.810 0.569
Tl: 0.027 0.027 0.918
Bi: 0.262 0.262 0.214
Pd: 0.626 0.626 0.121

As for the space-group type: R3m (160). The calculation puts the formation energy at -0.261 eV per atom.

=====

Entry 3:
VASP calculation (GGA-PBE) on a relaxed K2Tl6BiPd crystal.

abc: 7.776 7.776 14.349
angles: 74.28 74.28 60.00
Element x y z (fractional)
K: 0.902 0.902 0.294
K: 0.098 0.098 0.706
K: 0.724 0.724 0.828
K: 0.276 0.276 0.172
Tl: 0.917 0.333 0.417
Tl: 0.333 0.917 0.417
Tl: 0.333 0.333 0.417
Tl: 0.083 0.667 0.583
Tl: 0.667 0.083 0.583
Tl: 0.667 0.667 0.583
Tl: 0.638 0.219 0.924
Tl: 0.219 0.638 0.924
Tl: 0.219 0.219 0.924
Tl: 0.362 0.781 0.076
Tl: 0.781 0.362 0.076
Tl: 0.781 0.781 0.076
Bi: 0.573 0.573 0.281
Bi: 0.427 0.427 0.719
Pd: 0.000 0.000 0.000
Pd: 0.500 0.500 0.500

As for the space-group type: R-3m (166). The calculation puts the formation energy at -0.065 eV per atom.

=====

Entry 4:
VASP calculation (GGA-PBE) on a relaxed KTlBi2Pd crystal.

abc: 5.558 5.558 5.454
angles: 90.00 90.00 90.00
Element x y z (fractional)
K: 0.500 0.500 0.500
Tl: 0.000 0.000 0.500
Bi: 0.000 0.500 0.000
Bi: 0.500 0.000 0.000
Pd: 0.000 0.000 0.000

As for the space-group type: P4/mmm (123). The calculation puts the formation energy at -0.077 eV per atom.

=====

Entry 5:
VASP calculation (GGA-PBE) on a relaxed K2ZnBiPd crystal.

abc: 6.828 5.148 6.828
angles: 90.00 90.00 90.00
Element x y z (fractional)
K: 0.000 0.000 0.500
K: 0.500 0.000 0.000
Zn: 0.000 0.500 0.000
Bi: 0.000 0.000 0.000
Pd: 0.500 0.500 0.500

As for the space-group type: P4/mmm (123). The calculation puts the formation energy at 0.440 eV per atom.

=====

Entry 6:
VASP calculation (GGA-PBE) on a relaxed KPmBi2 crystal.

abc: 4.572 4.572 9.164
angles: 75.56 75.56 60.00
Element x y z (fractional)
K: 0.500 0.500 0.500
Bi: 0.264 0.264 0.209
Bi: 0.736 0.736 0.791
Pm: 0.000 0.000 0.000

As for the space-group type: R-3m (166). The calculation puts the formation energy at -0.399 eV per atom. The calculation puts the energy above the most stable polymorph in this dataset at 155 meV per atom.

=====

Entry 7:
VASP calculation (GGA-PBE) on a relaxed KPmBi2 crystal.

abc: 5.742 5.742 5.742
angles: 60.00 60.00 60.00
Element x y z (fractional)
K: 0.500 0.500 0.500
Bi: 0.250 0.250 0.250
Bi: 0.750 0.750 0.750
Pm: 0.000 0.000 0.000

As for the space-group type: Fm-3m (225). The calculation puts the formation energy at -0.374 eV per atom. The calculation puts the energy above the most stable polymorph in this dataset at 180 meV per atom.

=====

Entry 8:
VASP calculation (GGA-PBE) on a relaxed KPmBi2 crystal.

abc: 4.485 5.410 5.410
angles: 90.00 90.00 90.00
Element x y z (fractional)
K: 0.500 0.000 0.000
Bi: 0.000 0.000 0.500
Bi: 0.000 0.500 0.000
Pm: 0.500 0.500 0.500

As for the space-group type: P4/mmm (123). The calculation puts the formation energy at -0.419 eV per atom. The calculation puts the energy above the most stable polymorph in this dataset at 135 meV per atom.

=====

Entry 9:
VASP calculation (GGA-PBE) on a relaxed KPmBi2 crystal.

abc: 4.280 4.280 7.802
angles: 90.00 90.00 90.00
Element x y z (fractional)
K: 0.500 0.500 0.500
Bi: 0.000 0.000 0.798
Bi: 0.000 0.000 0.202
Pm: 0.500 0.500 0.000

As for the space-group type: P4/mmm (123). The calculation puts the formation energy at -0.554 eV per atom. The calculation puts the energy above the most stable polymorph in this dataset at 0 meV per atom.

=====

Entry 10:
VASP calculation (GGA-PBE) on a relaxed K3PmBi2S6 crystal.

abc: 7.214 7.214 7.787
angles: 98.87 98.87 119.99
Element x y z (fractional)
K: 0.169 0.831 0.500
K: 0.831 0.169 0.500
K: 0.500 0.500 0.500
Pm: 0.000 0.000 0.000
Bi: 0.334 0.666 0.000
Bi: 0.666 0.334 0.000
S: 0.930 0.599 0.791
S: 0.738 0.738 0.209
S: 0.070 0.401 0.209
S: 0.599 0.930 0.791
S: 0.262 0.262 0.791
S: 0.401 0.070 0.209

As for the space-group type: C2/m (12). The uncorrected formation energy comes out at -1.16 eV per atom.

=====

Entry 11:
VASP calculation (GGA-PBE) on a relaxed K4Pm3BiS8 crystal.

abc: 8.334 8.820 8.334
angles: 118.21 120.00 90.00
Element x y z (fractional)
K: 0.500 0.000 0.000
K: 0.500 0.000 0.500
K: 0.000 0.000 0.000
K: 0.000 0.000 0.500
Pm: 0.500 0.500 0.000
Pm: 0.500 0.500 0.500
Pm: 0.000 0.500 0.500
Bi: 0.000 0.500 0.000
S: 0.237 0.708 0.971
S: 0.237 0.708 0.473
S: 0.265 0.294 0.529
S: 0.735 0.708 0.971
S: 0.265 0.292 0.029
S: 0.735 0.706 0.471
S: 0.763 0.292 0.527
S: 0.763 0.292 0.029

As for the space-group type: R-3m (166). The uncorrected formation energy comes out at -1.60 eV per atom.

=====

Entry 12:
VASP calculation (GGA-PBE) on a relaxed K3Pm3BiS8 crystal.

abc: 8.246 8.245 8.893
angles: 117.63 90.00 120.01
Element x y z (fractional)
K: 0.000 0.000 0.000
K: 0.000 0.500 0.000
K: 0.500 0.500 0.000
Pm: 0.500 0.000 0.500
Pm: 0.500 0.500 0.500
Pm: 0.000 0.500 0.500
Bi: 0.000 0.000 0.500
S: 0.265 0.531 0.296
S: 0.735 0.469 0.704
S: 0.770 0.540 0.298
S: 0.230 0.460 0.702
S: 0.770 0.028 0.298
S: 0.230 0.972 0.702
S: 0.258 0.028 0.298
S: 0.742 0.972 0.702

As for the space-group type: R-3m (166). The uncorrected formation energy comes out at -1.50 eV per atom.